BeIrAu | Alexandria | GGA-PBE | optimized geometry; final energy = -15.71 eV for the cell shown; SG = Cm
1.0
3.6871 -1.4519 0.0000
3.6871 1.4519 0.0000
-2.1955 0.0000 4.0902
Be Ir Au
1 1 1
Cartesian
0.0000 0.0000 0.0000
5.1837 0.0000 0.8509
0.1180 0.0000 2.7217

=====

Ce2PdBr8 | Alexandria | GGA-PBE | optimized geometry; uncorrected formation energy = -1.349 eV per atom; SG = C2/m
1.0
6.7424 -3.4328 0.0000
6.7424 3.4328 0.0000
-2.5747 0.0000 9.3922
Ce Pd Br
2 1 8
Cartesian
0.6706 0.0000 3.5636
10.2396 0.0000 5.8287
0.0000 0.0000 0.0000
-0.3774 0.0000 6.3277
2.9921 1.7056 8.0468
3.2895 0.0000 4.7269
7.9181 1.7056 1.3454
2.9921 -1.7056 8.0468
7.6207 0.0000 4.6653
7.9181 -1.7056 1.3454
11.2877 0.0000 3.0645

=====

Th6AgP2C3 | Alexandria | GGA-PBE | optimized geometry; final energy = -93.43 eV for the cell shown; SG = C2/m
1.0
8.8549 -1.9527 0.0000
8.8549 1.9527 0.0000
-2.5052 0.0000 7.8227
Th Ag P C
6 1 2 3
Cartesian
-0.3246 0.0000 1.6979
4.6022 0.0000 3.3943
3.6936 0.0000 7.0819
11.5111 0.0000 0.7408
10.6025 0.0000 4.4284
15.5293 0.0000 6.1248
7.6023 0.0000 3.9113
0.7973 0.0000 6.4440
14.4073 0.0000 1.3787
2.1772 0.0000 2.5969
8.8549 0.0000 0.0000
13.0275 0.0000 5.2258

=====

Ca4Mg3Tl | Alexandria | GGA-PBE | optimized geometry; final energy = -16.59 eV for the cell shown; SG = P4/mmm
1.0
3.9235 0.0000 0.0000
0.0000 3.9235 0.0000
0.0000 0.0000 15.8959
Ca Mg Tl
4 3 1
Cartesian
0.0000 0.0000 1.8934
0.0000 0.0000 5.9327
0.0000 0.0000 9.9632
0.0000 0.0000 14.0025
1.9617 1.9617 3.9409
1.9617 1.9617 7.9479
1.9617 1.9617 11.9549
1.9617 1.9617 0.0000

=====

CaMg2C | Alexandria | GGA-PBE | optimized geometry; final energy = -24.61 eV for the cell shown; SG = Fd-3m
1.0
0.0000 4.7594 4.7594
4.7594 0.0000 4.7594
4.7594 4.7594 0.0000
Ca Mg C
2 4 2
Cartesian
1.1899 1.1899 1.1899
8.3290 8.3290 8.3290
4.7594 2.3797 2.3797
2.3797 4.7594 2.3797
2.3797 2.3797 4.7594
4.7594 4.7594 4.7594
3.5696 3.5696 3.5696
5.9493 5.9493 5.9493

=====

HI | Alexandria | GGA-PBE | optimized geometry; final energy = -21.10 eV for the cell shown; SG = Pm-3n
1.0
6.8084 0.0000 0.0000
0.0000 6.8084 0.0000
0.0000 0.0000 6.8084
H I
6 6
Cartesian
0.0000 1.7021 3.4042
0.0000 5.1063 3.4042
1.7021 3.4042 0.0000
3.4042 0.0000 1.7021
3.4042 0.0000 5.1063
5.1063 3.4042 0.0000
0.0000 3.4042 1.7021
0.0000 3.4042 5.1063
1.7021 0.0000 3.4042
3.4042 1.7021 0.0000
3.4042 5.1063 0.0000
5.1063 0.0000 3.4042